The following is a DFT calculation (PBE) of crystalline Fe6Ni23W at its relaxed geometry.

Unit cell a=8.5698 b=8.5698 c=8.5698 alpha=131.05 beta=131.05 gamma=71.74
Atoms (fractional coordinates):
Fe 0.2493 0.2493 0.0000
Fe 0.2548 0.2548 0.5095
Fe 0.2548 0.7452 0.0000
Fe 0.7452 0.2548 0.0000
Fe 0.7452 0.7452 0.4905
Fe 0.7507 0.7507 0.0000
Ni 0.0000 0.0000 0.5000
Ni 0.0000 0.5000 0.0000
Ni 0.0000 0.5000 0.5000
Ni 0.1214 0.3727 0.7488
Ni 0.1282 0.8715 0.2567
Ni 0.1285 0.3852 0.2567
Ni 0.1285 0.8718 0.7433
Ni 0.3727 0.1214 0.7488
Ni 0.3727 0.6239 0.2512
Ni 0.3761 0.6273 0.7488
Ni 0.3852 0.1285 0.2567
Ni 0.5000 0.0000 0.0000
Ni 0.5000 0.0000 0.5000
Ni 0.5000 0.5000 0.0000
Ni 0.5000 0.5000 0.5000
Ni 0.6148 0.8715 0.7433
Ni 0.6239 0.3727 0.2512
Ni 0.6273 0.3761 0.7488
Ni 0.6273 0.8786 0.2512
Ni 0.8715 0.1282 0.2567
Ni 0.8715 0.6148 0.7433
Ni 0.8718 0.1285 0.7433
Ni 0.8786 0.6273 0.2512
W 0.0000 0.0000 0.0000

Properties
- ρ (Mg/m³) = 8.9
- raw total energy (eV/atom) = -6.50
- DOS(E_F) (states/eV per cell) = 36.39
- formation energy (eV/atom) = 0.060